(1)
# Pr2HgN

A geometry-optimized Pr2HgN structure (GGA-PBE, the Alexandria database).

Results
- Calculated total energy: -5.349 eV/atom
- Size of the total moment: 0.00 μB per formula unit
- Formation energy without anion corrections: -0.802 eV per atom

Structure (CIF):
```
data_Pr2HgN
_cell_length_a 3.7248
_cell_length_b 3.7248
_cell_length_c 24.1096
_cell_angle_alpha 90.00
_cell_angle_beta 90.00
_cell_angle_gamma 120.00
_symmetry_space_group_name_H-M 'R -3 m'
_symmetry_Int_Tables_number 166
_symmetry_space_group_name_Hall '-R 3 2"'
loop_
_atom_site_label
_atom_site_fract_x
_atom_site_fract_y
_atom_site_fract_z
Pr1 0.0000 0.0000 0.2252
Hg1 0.0000 0.0000 0.0000
N1 0.0000 0.0000 0.5000
```

---

(2)
# PmNpAsPt

A geometry-optimized PmNpAsPt structure (GGA-PBE, the Alexandria database).

Results
- Calculated total energy: -7.764 eV/atom
- Size of the total moment: 4.94 μB per formula unit
- ΔE_f: -0.668 eV/atom

Structure (CIF):
```
data_PmNpAsPt
_cell_length_a 7.1601
_cell_length_b 7.1601
_cell_length_c 7.1601
_cell_angle_alpha 90.00
_cell_angle_beta 90.00
_cell_angle_gamma 90.00
_symmetry_space_group_name_H-M 'F -4 3 m'
_symmetry_Int_Tables_number 216
_symmetry_space_group_name_Hall 'F -4 2 3'
loop_
_atom_site_label
_atom_site_fract_x
_atom_site_fract_y
_atom_site_fract_z
Pm1 0.0000 0.0000 0.0000
Np1 0.0000 0.0000 0.5000
As1 0.2500 0.2500 0.7500
Pt1 0.2500 0.2500 0.2500
```

---

Question: Number 1 is which compound?
Answer: Pr2HgN